Compound: AcV4Cd3O12
Source: the Alexandria database
Functional: PBE+U
Structure: relaxed

Output
DOS(E_F), states/eV/atom: 0.22
Total energy, eV per atom: -6.424
Crystal system: trigonal

a b c (Å): 7.2144 7.2144 7.2144
angles (deg): 105.97 105.97 105.97
Last column: magnetic moment on the atom in μB.
Positions (direct):
O 0.7934 0.0318 0.6608  -0.04
Cd 0.4447 0.0000 0.5553  0.00
Cd 0.5553 0.4447 0.0000  0.00
V 0.0574 0.5000 0.9426  1.31
O 0.9682 0.2066 0.3392  -0.04
O 0.2066 0.3392 0.9682  -0.04
O 0.9065 0.5000 0.0935  -0.10
Ac 0.0000 0.0000 0.0000  0.01
O 0.0318 0.6608 0.7934  -0.04
O 0.5000 0.0935 0.9065  -0.10
O 0.6514 0.5000 0.3486  -0.06
V 0.5000 0.9426 0.0574  1.31
O 0.5000 0.3486 0.6514  -0.06
O 0.0935 0.9065 0.5000  -0.10
O 0.6608 0.7934 0.0318  -0.04
V 0.5000 0.5000 0.5000  1.02
O 0.3392 0.9682 0.2066  -0.04
Cd 0.0000 0.5553 0.4447  0.00
V 0.9426 0.0574 0.5000  1.31
O 0.3486 0.6514 0.5000  -0.06